Li4TiCo3O8 after structural relaxation. Source: the Alexandria database, functional PBE+U.

Summary:
Spin magnetization ... 2.97 μB per cell
Energy relative to the lowest polymorph listed for this composition ... 0 meV/atom

Structure (extended XYZ):
```
16
Lattice="5.815 -0.023 0.019 -2.887 5.003 -0.034 -0.030 -3.308 4.856" Properties=species:S:1:pos:R:3 pbc="T T T"
Ti 0.000 0.000 0.000
Co 2.907 -0.012 0.010
Co -1.444 2.501 -0.017
Co 1.464 2.490 -0.007
O 2.894 -0.025 3.773
O -1.514 4.129 1.092
O 2.911 1.730 1.061
O 1.358 -2.446 3.739
O -0.013 -0.059 3.780
O 4.411 -2.458 3.749
O 0.003 1.697 1.068
O 1.540 4.117 1.102
Li 1.449 0.836 2.420
Li 2.892 -1.666 2.438
Li -1.459 0.847 2.411
Li -0.015 -1.654 2.428
```